Entry 1
The following is a DFT calculation (GGA-PBE) of crystalline Li2GaPd5 at its relaxed geometry.

Crystal system   tetragonal
Spin magnetization   0.00 μB per formula unit

abc: 6.469 6.469 7.067
angles: 117.23 117.23 90.00
Fractional positions:
1 Li 0.143 0.357 0.000
2 Li 0.643 0.143 0.000
3 Li 0.357 0.857 0.000
4 Li 0.857 0.643 0.000
5 Ga 0.750 0.750 0.500
6 Ga 0.250 0.250 0.500
7 Pd 0.501 0.693 0.693
8 Pd 0.807 0.999 0.307
9 Pd 0.000 0.000 0.000
10 Pd 0.500 0.500 0.000
11 Pd 0.193 0.001 0.693
12 Pd 0.693 0.193 0.693
13 Pd 0.001 0.501 0.693
14 Pd 0.307 0.807 0.307
15 Pd 0.999 0.499 0.307
16 Pd 0.499 0.307 0.307


Entry 2
The following is a DFT calculation (GGA-PBE) of crystalline Li2GaPd5 at its relaxed geometry.

Crystal system   orthorhombic
Spin magnetization   0.00 μB per formula unit

abc: 4.146 5.354 10.356
angles: 90.00 90.00 90.00
Fractional positions:
1 Li 0.500 0.341 0.366
2 Li 0.500 0.659 0.634
3 Li 0.500 0.159 0.866
4 Li 0.500 0.841 0.134
5 Ga 0.000 0.000 0.500
6 Ga 0.000 0.500 0.000
7 Pd 0.500 0.327 0.112
8 Pd 0.500 0.673 0.888
9 Pd 0.500 0.827 0.388
10 Pd 0.500 0.173 0.612
11 Pd 0.000 0.882 0.736
12 Pd 0.000 0.118 0.264
13 Pd 0.000 0.382 0.764
14 Pd 0.000 0.618 0.236
15 Pd 0.000 0.500 0.500
16 Pd 0.000 0.000 0.000


The least stable of them is entry 1.